Entry 1:
{
  "formula": "Na2TaCr",
  "functional": "GGA-PBE",
  "state": "relaxed",
  "lattice_angstrom": [[8.393, 0.000, 0.000], [0.000, 8.393, 0.000], [4.196, 4.196, 2.519]],
  "species": ["Cr", "Cr", "Na", "Na", "Na", "Na", "Ta", "Ta"],
  "frac_coords": [[0.500, 0.500, 0.000], [0.250, 0.750, 0.500], [0.154, 0.625, 0.250], [0.375, 0.404, 0.750], [0.596, 0.125, 0.250], [0.875, 0.846, 0.750], [0.000, 0.000, 0.000], [0.750, 0.250, 0.500]],
  "magnetic_moment_mub_per_fu": 1.1,
  "de_polymorph_ev_per_atom": 0.000
}

Entry 2:
{
  "formula": "Na2TaCr",
  "functional": "GGA-PBE",
  "state": "relaxed",
  "lattice_angstrom": [[0.000, 3.536, 3.536], [3.536, 0.000, 3.536], [3.536, 3.536, 0.000]],
  "species": ["Na", "Na", "Cr", "Ta"],
  "frac_coords": [[0.250, 0.250, 0.250], [0.750, 0.750, 0.750], [0.000, 0.000, 0.000], [0.500, 0.500, 0.500]],
  "magnetic_moment_mub_per_fu": 1.3,
  "de_polymorph_ev_per_atom": 0.093
}

Entry 3:
{
  "formula": "Na3TaCr2Te6",
  "functional": "GGA-PBE",
  "state": "relaxed",
  "lattice_angstrom": [[7.154, 0.002, 0.004], [-3.573, 6.198, 0.004], [-1.198, -2.074, 7.410]],
  "species": ["Te", "Te", "Te", "Te", "Te", "Te", "Ta", "Na", "Na", "Na", "Cr", "Cr"],
  "frac_coords": [[0.405, 0.068, 0.204], [0.269, 0.269, 0.796], [0.068, 0.405, 0.204], [0.932, 0.595, 0.796], [0.595, 0.932, 0.796], [0.731, 0.731, 0.204], [0.000, 0.000, 0.000], [0.166, 0.834, 0.500], [0.500, 0.500, 0.500], [0.834, 0.166, 0.500], [0.333, 0.667, 0.000], [0.667, 0.333, 0.000]],
  "magnetic_moment_mub_per_fu": 8.0,
  "formation_energy_uncorrected_mev_per_atom": -438
}

Entry 4:
{
  "formula": "NaCrTc3",
  "functional": "GGA-PBE",
  "state": "relaxed",
  "lattice_angstrom": [[-3.300, -3.004, 0.715], [2.651, -2.220, 2.910], [-1.583, 2.544, 3.384]],
  "species": ["Tc", "Tc", "Tc", "Cr", "Na"],
  "frac_coords": [[0.000, 0.000, 0.500], [0.500, 0.000, 0.000], [0.000, 0.500, 0.000], [0.000, 0.000, 0.000], [0.500, 0.500, 0.500]],
  "magnetic_moment_mub_per_fu": 2.3,
  "de_polymorph_ev_per_atom": 0.000
}

Entry 5:
{
  "formula": "NaCrTc",
  "functional": "GGA-PBE",
  "state": "relaxed",
  "lattice_angstrom": [[2.910, 0.000, 0.000], [-1.455, 2.521, 0.000], [0.000, 0.000, 7.205]],
  "species": ["Na", "Cr", "Tc"],
  "frac_coords": [[0.000, 0.000, 0.463], [0.667, 0.333, 0.077], [0.333, 0.667, 0.853]],
  "magnetic_moment_mub_per_fu": 0.0,
  "de_polymorph_ev_per_atom": 0.233
}

Entry 6:
{
  "formula": "NaCrTc",
  "functional": "GGA-PBE",
  "state": "relaxed",
  "lattice_angstrom": [[-1.000, 1.456, -2.140], [-2.065, -1.087, -1.503], [-10.165, 6.628, 8.379]],
  "species": ["Tc", "Tc", "Cr", "Cr", "Na", "Na"],
  "frac_coords": [[0.442, 0.445, 0.758], [0.743, 0.771, 0.898], [0.392, 0.448, 0.050], [0.866, 0.943, 0.162], [0.141, 0.110, 0.571], [0.421, 0.529, 0.348]],
  "magnetic_moment_mub_per_fu": 0.0,
  "de_polymorph_ev_per_atom": 0.036
}